# Rb2PuInCl8

An optimized crystal structure of Rb2PuInCl8 (PBE, Alexandria).

a b c (Å): 6.8202 8.4397 7.2919
angles (deg): 90.00 92.31 90.00
Closest atoms and distances in Å follow each position.
Fractional coordinates of all 12 atoms:
Rb (0.0000, 0.2421, 0.0000)  6 Cl 3.20-3.45
Rb (0.0000, 0.7579, 0.0000)  6 Cl 3.20-3.45
Pu (0.5000, 0.5000, 0.5000)  6 Cl 2.65-2.81
In (0.5000, 0.0000, 0.5000)  6 Cl 2.45-2.67
Cl (0.2833, 0.2388, 0.6190)  1 In 2.67, 1 Pu 2.81
Cl (0.2833, 0.7612, 0.6190)  1 In 2.67, 1 Pu 2.81
Cl (0.2868, 0.5000, 0.1880)  1 Pu 2.65
Cl (0.3125, 0.0000, 0.2070)  1 In 2.45
Cl (0.6875, 0.0000, 0.7930)  1 In 2.45
Cl (0.7132, 0.5000, 0.8120)  1 Pu 2.65
Cl (0.7167, 0.2388, 0.3810)  1 In 2.67, 1 Pu 2.81
Cl (0.7167, 0.7612, 0.3810)  1 In 2.67, 1 Pu 2.81

Properties
* space group: P2/m
* formation energy from raw total energies: -1.641 eV/atom
* V: 419 Å³/cell
* calculated total energy: -4.456 eV per atom

=====

# Rb2PuInCl6

An optimized crystal structure of Rb2PuInCl6 (PBE, Alexandria).

a b c (Å): 7.7358 8.2331 13.4722
angles (deg): 90.00 124.41 90.00
Closest atoms and distances in Å follow each position.
Fractional coordinates of all 20 atoms:
Rb (0.2243, 0.0694, 0.2496)  6 Cl 3.33-3.59
Rb (0.2243, 0.4306, 0.7496)  6 Cl 3.33-3.59
Rb (0.7757, 0.5694, 0.2504)  6 Cl 3.33-3.59
Rb (0.7757, 0.9306, 0.7504)  6 Cl 3.33-3.59
Pu (0.5000, 0.0000, 0.0000)  6 Cl 2.73-2.74
Pu (0.5000, 0.5000, 0.5000)  6 Cl 2.73-2.74
In (0.0000, 0.0000, 0.5000)  6 Cl 3.16-3.19
In (0.0000, 0.5000, 0.0000)  6 Cl 3.16-3.19
Cl (0.1623, 0.1829, 0.9445)  1 Pu 2.73
Cl (0.1623, 0.3171, 0.4445)  1 Pu 2.73
Cl (0.2659, 0.7223, 0.9387)  1 Pu 2.74
Cl (0.2659, 0.7777, 0.4387)  1 Pu 2.74
Cl (0.3833, 0.0473, 0.7694)  1 Pu 2.73
Cl (0.3833, 0.4527, 0.2694)  1 Pu 2.73
Cl (0.6167, 0.5473, 0.7306)  1 Pu 2.73
Cl (0.6167, 0.9527, 0.2306)  1 Pu 2.73
Cl (0.7341, 0.2223, 0.5613)  1 Pu 2.74
Cl (0.7341, 0.2777, 0.0613)  1 Pu 2.74
Cl (0.8377, 0.6829, 0.5555)  1 Pu 2.73
Cl (0.8377, 0.8171, 0.0555)  1 Pu 2.73

Properties
* space group: P2_1/c
* formation energy from raw total energies: -1.745 eV/atom
* V: 708 Å³/cell
* calculated total energy: -4.754 eV per atom

=====

# PuScInCl6

An optimized crystal structure of PuScInCl6 (PBE, Alexandria).

a b c (Å): 6.9478 6.9478 13.9334
angles (deg): 90.00 90.00 120.00
Closest atoms and distances in Å follow each position.
Fractional coordinates of all 18 atoms:
Pu (0.3333, 0.6667, 0.2500)  6 Cl 2.80
Pu (0.6667, 0.3333, 0.7500)  6 Cl 2.80
Sc (0.3333, 0.6667, 0.7500)  6 Cl 2.55
Sc (0.6667, 0.3333, 0.2500)  6 Cl 2.55
In (0.0000, 0.0000, 0.0000)  6 Cl 3.23
In (0.0000, 0.0000, 0.5000)  6 Cl 3.23
Cl (0.0282, 0.3788, 0.6428)  1 Sc 2.55, 1 Pu 2.80
Cl (0.0282, 0.6494, 0.8572)  1 Sc 2.55, 1 Pu 2.80
Cl (0.3506, 0.3788, 0.8572)  1 Sc 2.55, 1 Pu 2.80
Cl (0.3506, 0.9718, 0.6428)  1 Sc 2.55, 1 Pu 2.80
Cl (0.3788, 0.0282, 0.1428)  1 Sc 2.55, 1 Pu 2.80
Cl (0.3788, 0.3506, 0.3572)  1 Sc 2.55, 1 Pu 2.80
Cl (0.6212, 0.6494, 0.6428)  1 Sc 2.55, 1 Pu 2.80
Cl (0.6212, 0.9718, 0.8572)  1 Sc 2.55, 1 Pu 2.80
Cl (0.6494, 0.0282, 0.3572)  1 Sc 2.55, 1 Pu 2.80
Cl (0.6494, 0.6212, 0.1428)  1 Sc 2.55, 1 Pu 2.80
Cl (0.9718, 0.3506, 0.1428)  1 Sc 2.55, 1 Pu 2.80
Cl (0.9718, 0.6212, 0.3572)  1 Sc 2.55, 1 Pu 2.80

Properties
* space group: P-31c
* formation energy from raw total energies: -1.737 eV/atom
* V: 582 Å³/cell
* calculated total energy: -5.568 eV per atom

=====

# PuInSeCl

An optimized crystal structure of PuInSeCl (PBE, Alexandria).

a b c (Å): 5.2117 5.2117 5.2117
angles (deg): 60.00 60.00 60.00
Closest atoms and distances in Å follow each position.
Fractional coordinates of all 4 atoms:
Pu (0.0000, 0.0000, 0.0000)  4 Cl 3.19, 4 Se 3.19
In (0.5000, 0.5000, 0.5000)  4 Cl 3.19, 4 Se 3.19
Se (0.2500, 0.2500, 0.2500)  4 In 3.19, 4 Pu 3.19
Cl (0.7500, 0.7500, 0.7500)  4 In 3.19, 4 Pu 3.19

Properties
* space group: F-43m
* formation energy from raw total energies: -0.899 eV/atom
* V: 100 Å³/cell
* calculated total energy: -6.499 eV per atom

=====

# PuInSnCl6

An optimized crystal structure of PuInSnCl6 (PBE, Alexandria).

a b c (Å): 6.8476 6.8476 13.1542
angles (deg): 90.00 90.00 90.00
Closest atoms and distances in Å follow each position.
Fractional coordinates of all 18 atoms:
Pu (0.0000, 0.0000, 0.0000)  6 Cl 2.72-2.76
Pu (0.5000, 0.5000, 0.5000)  6 Cl 2.72-2.76
In (0.0000, 0.0000, 0.6668)  6 Cl 3.14-3.18
In (0.5000, 0.5000, 0.1668)  6 Cl 3.14-3.18
Sn (0.0000, 0.0000, 0.3344)  6 Cl 2.81-2.94
Sn (0.5000, 0.5000, 0.8344)  6 Cl 2.81-2.94
Cl (0.1762, 0.1762, 0.1651)  1 Pu 2.76, 1 Sn 2.81
Cl (0.2021, 0.2021, 0.8540)  1 Pu 2.74, 1 Sn 2.90
Cl (0.2201, 0.2201, 0.4879)  1 Pu 2.72, 1 Sn 2.94
Cl (0.2799, 0.7201, 0.9879)  1 Pu 2.72, 1 Sn 2.94
Cl (0.2979, 0.7021, 0.3540)  1 Pu 2.74, 1 Sn 2.90
Cl (0.3238, 0.6762, 0.6651)  1 Pu 2.76, 1 Sn 2.81
Cl (0.6762, 0.3238, 0.6651)  1 Pu 2.76, 1 Sn 2.81
Cl (0.7021, 0.2979, 0.3540)  1 Pu 2.74, 1 Sn 2.90
Cl (0.7201, 0.2799, 0.9879)  1 Pu 2.72, 1 Sn 2.94
Cl (0.7799, 0.7799, 0.4879)  1 Pu 2.72, 1 Sn 2.94
Cl (0.7979, 0.7979, 0.8540)  1 Pu 2.74, 1 Sn 2.90
Cl (0.8238, 0.8238, 0.1651)  1 Pu 2.76, 1 Sn 2.81

Properties
* space group: P4_2nm
* formation energy from raw total energies: -1.348 eV/atom
* V: 617 Å³/cell
* calculated total energy: -4.921 eV per atom

=====

# SrPuInCl6

An optimized crystal structure of SrPuInCl6 (PBE, Alexandria).

a b c (Å): 7.4843 7.4843 13.1889
angles (deg): 90.00 90.00 120.00
Closest atoms and distances in Å follow each position.
Fractional coordinates of all 18 atoms:
Sr (0.3333, 0.6667, 0.2500)  6 Cl 2.92
Sr (0.6667, 0.3333, 0.7500)  6 Cl 2.92
Pu (0.3333, 0.6667, 0.7500)  6 Cl 2.74
Pu (0.6667, 0.3333, 0.2500)  6 Cl 2.74
In (0.0000, 0.0000, 0.0000)  6 Cl 3.26
In (0.0000, 0.0000, 0.5000)  6 Cl 3.26
Cl (0.0183, 0.3718, 0.6361)  1 Pu 2.74, 1 Sr 2.92
Cl (0.0183, 0.6465, 0.8639)  1 Pu 2.74, 1 Sr 2.92
Cl (0.3535, 0.3718, 0.8639)  1 Pu 2.74, 1 Sr 2.92
Cl (0.3535, 0.9817, 0.6361)  1 Pu 2.74, 1 Sr 2.92
Cl (0.3718, 0.0183, 0.1361)  1 Pu 2.74, 1 Sr 2.92
Cl (0.3718, 0.3535, 0.3639)  1 Pu 2.74, 1 Sr 2.92
Cl (0.6282, 0.6465, 0.6361)  1 Pu 2.74, 1 Sr 2.92
Cl (0.6282, 0.9817, 0.8639)  1 Pu 2.74, 1 Sr 2.92
Cl (0.6465, 0.0183, 0.3639)  1 Pu 2.74, 1 Sr 2.92
Cl (0.6465, 0.6282, 0.1361)  1 Pu 2.74, 1 Sr 2.92
Cl (0.9817, 0.3535, 0.1361)  1 Pu 2.74, 1 Sr 2.92
Cl (0.9817, 0.6282, 0.3639)  1 Pu 2.74, 1 Sr 2.92

Properties
* space group: P-31c
* formation energy from raw total energies: -1.853 eV/atom
* V: 640 Å³/cell
* calculated total energy: -5.168 eV per atom

=====

# PuTl3In3Cl8

An optimized crystal structure of PuTl3In3Cl8 (PBE, Alexandria).

a b c (Å): 9.1327 9.1327 9.1510
angles (deg): 119.99 119.99 59.95
Closest atoms and distances in Å follow each position.
Fractional coordinates of all 15 atoms:
Pu (0.0000, 0.0000, 0.0000)  6 Cl 2.84
Tl (0.0000, 0.0000, 0.5000)  6 Cl 3.24-3.27
Tl (0.0000, 0.5000, 0.5000)  6 Cl 3.24-3.27
Tl (0.5000, 0.0000, 0.5000)  6 Cl 3.24-3.27
In (0.0000, 0.5000, 0.0000)  6 Cl 3.22-3.24
In (0.5000, 0.0000, 0.0000)  6 Cl 3.22-3.24
In (0.5000, 0.5000, 0.0000)  6 Cl 3.22-3.24
Cl (0.2194, 0.2194, 0.2174)  1 Pu 2.84
Cl (0.2195, 0.7786, 0.2174)  1 Pu 2.84
Cl (0.2214, 0.7805, 0.7826)  1 Pu 2.84
Cl (0.2510, 0.2510, 0.7532)  3 In 3.22, 3 Tl 3.24
Cl (0.7490, 0.7490, 0.2468)  3 In 3.22, 3 Tl 3.24
Cl (0.7786, 0.2195, 0.2174)  1 Pu 2.84
Cl (0.7805, 0.2214, 0.7826)  1 Pu 2.84
Cl (0.7806, 0.7806, 0.7826)  1 Pu 2.84

Properties
* space group: C2/m
* formation energy from raw total energies: -1.081 eV/atom
* V: 540 Å³/cell
* calculated total energy: -4.042 eV per atom

=====

# PuTl2In2Cl6

An optimized crystal structure of PuTl2In2Cl6 (PBE, Alexandria).

a b c (Å): 8.3059 8.3059 7.4226
angles (deg): 101.54 101.54 126.84
Closest atoms and distances in Å follow each position.
Fractional coordinates of all 11 atoms:
Pu (0.0000, 0.0000, 0.0000)  6 Cl 2.79-2.81
Tl (0.1707, 0.8293, 0.5000)  6 Cl 3.22-3.48
Tl (0.8293, 0.1707, 0.5000)  6 Cl 3.22-3.48
In (0.3341, 0.6659, 0.0000)  6 Cl 3.16-3.46
In (0.6659, 0.3341, 0.0000)  6 Cl 3.16-3.46
Cl (0.1036, 0.3813, 0.2389)  1 Pu 2.79
Cl (0.2238, 0.2238, 0.7794)  1 Pu 2.81
Cl (0.3813, 0.1036, 0.2389)  1 Pu 2.79
Cl (0.6187, 0.8964, 0.7611)  1 Pu 2.79
Cl (0.7762, 0.7762, 0.2206)  1 Pu 2.81
Cl (0.8964, 0.6187, 0.7611)  1 Pu 2.79

Properties
* space group: C2/m
* formation energy from raw total energies: -1.129 eV/atom
* V: 367 Å³/cell
* calculated total energy: -4.367 eV per atom

=====

formation energy from raw total energies of number 7 (PuTl3In3Cl8)?
-1.081 eV/atom